Computed, not measured: an optimized crystal structure of Na2LaMoP at the PBE level of DFT.

Summary:
Space group: No. 123
DFT formation energy: 2.52 eV per formula unit
Theoretical density: 3.952 Mg/m³

Unit cell a=5.2952 b=5.2952 c=4.6722 alpha=90.00 beta=90.00 gamma=90.00
Last column: nearest neighbours and their distance in Å.
Sites, in units of the cell vectors:
Na (0.0000, 0.5000, 0.0000)  2 Mo 2.65
Na (0.5000, 0.0000, 0.0000)  2 Mo 2.65
La (0.0000, 0.0000, 0.5000)  8 Na 3.53, 4 P 3.74
Mo (0.5000, 0.5000, 0.0000)  2 P 2.34
P (0.5000, 0.5000, 0.5000)  2 Mo 2.34